Entry 1:
The following is a DFT calculation (PBE) of an optimized crystal structure of Ba2Ag3HgSb4.

Calculated values
- crystal system = tetragonal
- formation energy from raw total energies (eV/atom) = -0.475

Geometry as POSCAR:
```
Ba2Ag3HgSb4
1.0
4.947 0.000 0.000
0.000 4.947 0.000
0.000 0.000 11.744
Ba Ag Hg Sb
2 3 1 4
Direct
0.000 0.500 0.249
0.500 0.000 0.751
0.000 0.500 0.873
0.500 0.000 0.127
0.500 0.500 0.500
0.000 0.000 0.500
0.000 0.000 0.000
0.000 0.500 0.638
0.500 0.000 0.362
0.500 0.500 0.000
```

---

Entry 2:
The following is a DFT calculation (PBE) of an optimized crystal structure of BaAgHgSb2.

Calculated values
- crystal system = tetragonal
- formation energy from raw total energies (eV/atom) = -0.404

Geometry as POSCAR:
```
BaAgHgSb2
1.0
4.720 0.000 0.000
0.000 4.720 0.000
0.000 0.000 13.386
Ba Ag Hg Sb
2 2 2 4
Direct
0.000 0.000 0.000
0.500 0.500 0.500
0.000 0.500 0.750
0.500 0.000 0.250
0.000 0.500 0.250
0.500 0.000 0.750
0.000 0.000 0.382
0.000 0.000 0.618
0.500 0.500 0.118
0.500 0.500 0.882
```

---

Entry 3:
The following is a DFT calculation (PBE) of an optimized crystal structure of Ba2AgHg6Sb.

Calculated values
- crystal system = orthorhombic
- formation energy from raw total energies (eV/atom) = -0.276

Geometry as POSCAR:
```
Ba2AgHg6Sb
1.0
6.097 0.000 0.000
0.000 9.596 0.000
0.000 0.000 10.829
Ba Ag Hg Sb
4 2 12 2
Direct
0.250 0.016 0.238
0.250 0.484 0.238
0.750 0.516 0.762
0.750 0.984 0.762
0.250 0.250 0.752
0.750 0.750 0.248
0.001 0.750 0.029
0.002 0.750 0.483
0.250 0.508 0.601
0.250 0.992 0.601
0.498 0.750 0.483
0.499 0.750 0.029
0.501 0.250 0.971
0.502 0.250 0.517
0.750 0.008 0.399
0.750 0.492 0.399
0.998 0.250 0.517
0.999 0.250 0.971
0.250 0.750 0.786
0.750 0.250 0.214
```

---

Entry 4:
The following is a DFT calculation (PBE) of an optimized crystal structure of BaSmAgHg.

Calculated values
- crystal system = cubic
- formation enthalpy at 0 K (eV/atom) = -0.25

Geometry as POSCAR:
```
BaSmAgHg
1.0
7.898 0.000 0.000
0.000 7.898 0.000
0.000 0.000 7.898
Ba Sm Ag Hg
4 4 4 4
Direct
0.000 0.000 0.000
0.000 0.500 0.500
0.500 0.000 0.500
0.500 0.500 0.000
0.000 0.000 0.500
0.000 0.500 0.000
0.500 0.000 0.000
0.500 0.500 0.500
0.250 0.250 0.750
0.250 0.750 0.250
0.750 0.250 0.250
0.750 0.750 0.750
0.250 0.250 0.250
0.250 0.750 0.750
0.750 0.250 0.750
0.750 0.750 0.250
```

---

Total energy values (in eV per atom) by entry order: -3.39, -3.07, -1.54, -2.70.